DFT (PBE+U) results for a relaxed structure of BaNdV4O12.

a b c (Å): 5.408 5.408 7.599
angles (deg): 90.00 90.00 90.00
Space group P4/mmm (No. 123)
Asymmetric unit:
Ba (0.000, 0.000, 0.000) (multiplicity 1)
Nd (0.500, 0.500, 0.500) (multiplicity 1)
V (0.000, 0.500, 0.252) (multiplicity 4)
O (0.000, 0.500, 0.000) (multiplicity 2)
O (0.000, 0.500, 0.500) (multiplicity 2)
O (0.256, 0.256, 0.260) (multiplicity 8)

E_tot (eV per atom): -7.4656
Total magnetic moment (μB/atom): 0.020